## Ho4MgZn2Os (PBE-GGA)

Data for a relaxed Ho4MgZn2Os crystal.

Properties
The value obtained for the uncorrected energy is -4.50 eV/atom. The calculation puts the calculated density at 9.25 Mg/m³. Its crystal system is trigonal. The formation energy comes out at -0.292 eV per atom.

Cell: 8.7496 8.7496 8.7496 Å, 33.37 33.37 33.37°
Last column: nearest neighbours and their distance in Å.
Positions (direct):
Ho 0.1140 0.1140 0.1140  1 Os 2.82, 4 Zn 2.95-3.12
Ho 0.3669 0.3669 0.3669  3 Os 3.02, 4 Zn 3.14-3.26, 1 Mg 3.30, 3 Ho 3.34
Ho 0.6331 0.6331 0.6331  3 Os 3.02, 4 Zn 3.14-3.26, 1 Mg 3.30, 3 Ho 3.34
Ho 0.8860 0.8860 0.8860  1 Os 2.82, 4 Zn 2.95-3.12
Mg 0.5000 0.5000 0.5000  8 Ho 3.18-3.30, 6 Zn 3.42
Zn 0.2401 0.2401 0.2401  8 Ho 2.95-3.26
Zn 0.7599 0.7599 0.7599  8 Ho 2.95-3.26
Os 0.0000 0.0000 0.0000  8 Ho 2.82-3.02